Record 1
# Pu3Zn | the Alexandria database | PBE | relaxed
# Excess energy over the best structure of this formula in the dataset (eV per atom): 0.001
# Mass density (Mg/m³): 15.366
# Formation enthalpy at 0 K (eV per atom): 0.10
data_Pu3Zn
_chemical_formula_sum 'Pu6 Zn2'
_symmetry_space_group_name_H-M 'I m m 2'
_symmetry_Int_Tables_number 44
_symmetry_space_group_name_Hall 'I 2 -2'
_cell_length_a 2.8138
_cell_length_b 9.3245
_cell_length_c 6.5685
_cell_angle_alpha 90.00
_cell_angle_beta 90.00
_cell_angle_gamma 90.00
loop_
_atom_site_label
_atom_site_type_symbol
_atom_site_fract_x
_atom_site_fract_y
_atom_site_fract_z
Pu1 Pu 0.0000 0.0000 0.0000
Pu2 Pu 0.0000 0.1935 0.2660
Zn1 Zn 0.0000 0.5000 0.0908

Record 2
# Pu3Zn22 | the Alexandria database | PBE | relaxed
# Mass density (Mg/m³): 8.699
# Formation enthalpy at 0 K (eV per atom): -0.14
data_Pu3Zn22
_chemical_formula_sum 'Pu12 Zn88'
_symmetry_space_group_name_H-M 'I 41/a m d'
_symmetry_Int_Tables_number 141
_cell_length_a 8.8530
_cell_length_b 8.8530
_cell_length_c 21.1511
_cell_angle_alpha 90.00
_cell_angle_beta 90.00
_cell_angle_gamma 90.00
loop_
_symmetry_equiv_pos_as_xyz
'x,y,z'
'-x,-y,-z'
'-y+1/4,x+3/4,z+1/4'
'y+1/4,-x+3/4,-z+1/4'
'-x+1/2,-y,z+1/2'
'x+1/2,y,-z+1/2'
'y+1/4,-x+1/4,z+3/4'
'-y+1/4,x+1/4,-z+3/4'
'x,-y,-z'
'-x,y,z'
'-y+1/4,-x+1/4,-z+3/4'
'y+1/4,x+1/4,z+3/4'
'-x+1/2,y,-z+1/2'
'x+1/2,-y,z+1/2'
'y+1/4,x+3/4,-z+1/4'
'-y+1/4,-x+3/4,z+1/4'
'x+1/2,y+1/2,z+1/2'
'-x+1/2,-y+1/2,-z+1/2'
'-y+3/4,x+1/4,z+3/4'
'y+3/4,-x+1/4,-z+3/4'
'-x,-y+1/2,z'
'x,y+1/2,-z'
'y+3/4,-x+3/4,z+1/4'
'-y+3/4,x+3/4,-z+1/4'
'x+1/2,-y+1/2,-z+1/2'
'-x+1/2,y+1/2,z+1/2'
'-y+3/4,-x+3/4,-z+1/4'
'y+3/4,x+3/4,z+1/4'
'-x,y+1/2,-z'
'x,-y+1/2,z'
'y+3/4,x+1/4,-z+3/4'
'-y+3/4,-x+1/4,z+3/4'
loop_
_atom_site_label
_atom_site_type_symbol
_atom_site_fract_x
_atom_site_fract_y
_atom_site_fract_z
Pu1 Pu 0.0000 0.2500 0.2533
Pu2 Pu 0.0000 0.2500 0.8750
Zn1 Zn 0.0000 0.0000 0.0000
Zn2 Zn 0.0000 0.0305 0.3756
Zn3 Zn 0.0000 0.0963 0.7389
Zn4 Zn 0.0000 0.1016 0.1179
Zn5 Zn 0.2300 0.0097 0.1891

Record 3
# PuZn3 | the Alexandria database | PBE | relaxed
# Mass density (Mg/m³): 9.026
# Formation enthalpy at 0 K (eV per atom): 0.03
data_PuZn3
_chemical_formula_sum 'Pu1 Zn3'
_symmetry_space_group_name_H-M 'P m -3 m'
_symmetry_Int_Tables_number 221
_symmetry_space_group_name_Hall '-P 4 2 3'
_cell_length_a 4.3266
_cell_length_b 4.3266
_cell_length_c 4.3266
_cell_angle_alpha 90.00
_cell_angle_beta 90.00
_cell_angle_gamma 90.00
loop_
_atom_site_label
_atom_site_type_symbol
_atom_site_fract_x
_atom_site_fract_y
_atom_site_fract_z
Pu1 Pu 0.0000 0.0000 0.0000
Zn1 Zn 0.0000 0.5000 0.5000

Record 4
# Pu3Zn11 | the Alexandria database | PBE | relaxed
# Mass density (Mg/m³): 9.394
# Formation enthalpy at 0 K (eV per atom): -0.13
data_Pu3Zn11
_chemical_formula_sum 'Pu6 Zn22'
_symmetry_space_group_name_H-M 'I m m m'
_symmetry_Int_Tables_number 71
_symmetry_space_group_name_Hall '-I 2 2'
_cell_length_a 4.4912
_cell_length_b 8.8387
_cell_length_c 12.9271
_cell_angle_alpha 90.00
_cell_angle_beta 90.00
_cell_angle_gamma 90.00
loop_
_atom_site_label
_atom_site_type_symbol
_atom_site_fract_x
_atom_site_fract_y
_atom_site_fract_z
Pu1 Pu 0.0000 0.0000 0.0000
Pu2 Pu 0.0000 0.0000 0.2883
Zn1 Zn 0.0000 0.1726 0.5000
Zn2 Zn 0.0000 0.2889 0.1401
Zn3 Zn 0.0000 0.3568 0.3443
Zn4 Zn 0.0000 0.5000 0.0000

Record 5
# Pu3Zn | the Alexandria database | PBE | relaxed
# Excess energy over the best structure of this formula in the dataset (eV per atom): 0.018
# Mass density (Mg/m³): 13.724
# Formation enthalpy at 0 K (eV per atom): 0.12
data_Pu3Zn
_chemical_formula_sum 'Pu3 Zn1'
_symmetry_space_group_name_H-M 'P m -3 m'
_symmetry_Int_Tables_number 221
_symmetry_space_group_name_Hall '-P 4 2 3'
_cell_length_a 4.5866
_cell_length_b 4.5866
_cell_length_c 4.5866
_cell_angle_alpha 90.00
_cell_angle_beta 90.00
_cell_angle_gamma 90.00
loop_
_atom_site_label
_atom_site_type_symbol
_atom_site_fract_x
_atom_site_fract_y
_atom_site_fract_z
Pu1 Pu 0.0000 0.0000 0.5000
Zn1 Zn 0.5000 0.5000 0.5000

Record 6
# PuZn3 | the Alexandria database | PBE | relaxed
# Mass density (Mg/m³): 9.760
# Formation enthalpy at 0 K (eV per atom): 0.00
data_PuZn3
_chemical_formula_sum 'Pu1 Zn3'
_symmetry_space_group_name_H-M 'P m m 2'
_symmetry_Int_Tables_number 25
_symmetry_space_group_name_Hall 'P 2 -2'
_cell_length_a 2.8017
_cell_length_b 4.4625
_cell_length_c 5.9905
_cell_angle_alpha 90.00
_cell_angle_beta 90.00
_cell_angle_gamma 90.00
loop_
_atom_site_label
_atom_site_type_symbol
_atom_site_fract_x
_atom_site_fract_y
_atom_site_fract_z
Pu1 Pu 0.0000 0.0000 0.0000
Zn1 Zn 0.0000 0.5000 0.6458
Zn2 Zn 0.5000 0.0000 0.5029
Zn3 Zn 0.5000 0.5000 0.2447

Record 7
# Pu2Zn7 | the Alexandria database | PBE | relaxed
# Mass density (Mg/m³): 9.538
# Formation enthalpy at 0 K (eV per atom): -0.08
data_Pu2Zn7
_chemical_formula_sum 'Pu12 Zn42'
_symmetry_space_group_name_H-M 'R -3 m'
_symmetry_Int_Tables_number 166
_symmetry_space_group_name_Hall '-R 3 2"'
_cell_length_a 5.4263
_cell_length_b 5.4263
_cell_length_c 38.7458
_cell_angle_alpha 90.00
_cell_angle_beta 90.00
_cell_angle_gamma 120.00
loop_
_atom_site_label
_atom_site_type_symbol
_atom_site_fract_x
_atom_site_fract_y
_atom_site_fract_z
Pu1 Pu 0.0000 0.0000 0.0426
Pu2 Pu 0.0000 0.0000 0.1812
Zn1 Zn 0.0000 0.0000 0.2669
Zn2 Zn 0.0000 0.0000 0.3888
Zn3 Zn 0.0000 0.0000 0.5000
Zn4 Zn 0.0000 0.5000 0.0000
Zn5 Zn 0.0033 0.5016 0.7776

Record 8
# PuZn6 | the Alexandria database | PBE | relaxed
# Mass density (Mg/m³): 8.849
# Formation enthalpy at 0 K (eV per atom): -0.10
data_PuZn6
_chemical_formula_sum 'Pu4 Zn24'
_symmetry_space_group_name_H-M 'P n m a'
_symmetry_Int_Tables_number 62
_symmetry_space_group_name_Hall '-P 2ac 2n'
_cell_length_a 8.5276
_cell_length_b 5.2499
_cell_length_c 10.6711
_cell_angle_alpha 90.00
_cell_angle_beta 90.00
_cell_angle_gamma 90.00
loop_
_atom_site_label
_atom_site_type_symbol
_atom_site_fract_x
_atom_site_fract_y
_atom_site_fract_z
Pu1 Pu 0.2421 0.2500 0.0585
Zn1 Zn 0.0600 0.7500 0.0883
Zn2 Zn 0.0697 0.0130 0.3084
Zn3 Zn 0.0864 0.2500 0.5227
Zn4 Zn 0.1359 0.7500 0.8530
Zn5 Zn 0.1885 0.2500 0.7543

Record 9
# Pu3Zn | the Alexandria database | PBE | relaxed
# Excess energy over the best structure of this formula in the dataset (eV per atom): 0.030
# Mass density (Mg/m³): 13.844
# Formation enthalpy at 0 K (eV per atom): 0.13
data_Pu3Zn
_chemical_formula_sum 'Pu6 Zn2'
_symmetry_space_group_name_H-M 'P 63/m m c'
_symmetry_Int_Tables_number 194
_symmetry_space_group_name_Hall '-P 6c 2c'
_cell_length_a 6.5117
_cell_length_b 6.5117
_cell_length_c 5.2091
_cell_angle_alpha 90.00
_cell_angle_beta 90.00
_cell_angle_gamma 120.00
loop_
_atom_site_label
_atom_site_type_symbol
_atom_site_fract_x
_atom_site_fract_y
_atom_site_fract_z
Pu1 Pu 0.1722 0.3445 0.2500
Zn1 Zn 0.3333 0.6667 0.7500

Record 10
# Pu5Zn | the Alexandria database | PBE | relaxed
# Mass density (Mg/m³): 18.502
# Formation enthalpy at 0 K (eV per atom): 0.19
data_Pu5Zn
_chemical_formula_sum 'Pu10 Zn2'
_symmetry_space_group_name_H-M 'C m m m'
_symmetry_Int_Tables_number 65
_symmetry_space_group_name_Hall '-C 2 2'
_cell_length_a 3.9607
_cell_length_b 11.7227
_cell_length_c 4.9695
_cell_angle_alpha 90.00
_cell_angle_beta 90.00
_cell_angle_gamma 90.00
loop_
_atom_site_label
_atom_site_type_symbol
_atom_site_fract_x
_atom_site_fract_y
_atom_site_fract_z
Pu1 Pu 0.0000 0.0000 0.0000
Pu2 Pu 0.0000 0.1946 0.5000
Pu3 Pu 0.0000 0.3595 0.0000
Zn1 Zn 0.0000 0.5000 0.5000

Record 11
# Pu2Zn17 | the Alexandria database | PBE | relaxed
# Mass density (Mg/m³): 8.571
# Formation enthalpy at 0 K (eV per atom): -0.14
data_Pu2Zn17
_chemical_formula_sum 'Pu6 Zn51'
_symmetry_space_group_name_H-M 'R -3 m'
_symmetry_Int_Tables_number 166
_symmetry_space_group_name_Hall '-R 3 2"'
_cell_length_a 9.0085
_cell_length_b 9.0085
_cell_length_c 13.2317
_cell_angle_alpha 90.00
_cell_angle_beta 90.00
_cell_angle_gamma 120.00
loop_
_atom_site_label
_atom_site_type_symbol
_atom_site_fract_x
_atom_site_fract_y
_atom_site_fract_z
Pu1 Pu 0.0000 0.0000 0.1635
Zn1 Zn 0.0000 0.0000 0.3997
Zn2 Zn 0.0000 0.2966 0.5000
Zn3 Zn 0.0000 0.5000 0.0000
Zn4 Zn 0.0086 0.5043 0.6514

Record 12
# Pu3Zn | the Alexandria database | PBE | relaxed
# Excess energy over the best structure of this formula in the dataset (eV per atom): 0.043
# Mass density (Mg/m³): 16.750
# Formation enthalpy at 0 K (eV per atom): 0.15
data_Pu3Zn
_chemical_formula_sum 'Pu6 Zn2'
_symmetry_space_group_name_H-M 'I 4/m m m'
_symmetry_Int_Tables_number 139
_symmetry_space_group_name_Hall '-I 4 2'
_cell_length_a 4.8207
_cell_length_b 4.8207
_cell_length_c 6.8035
_cell_angle_alpha 90.00
_cell_angle_beta 90.00
_cell_angle_gamma 90.00
loop_
_atom_site_label
_atom_site_type_symbol
_atom_site_fract_x
_atom_site_fract_y
_atom_site_fract_z
Pu1 Pu 0.0000 0.0000 0.0000
Pu2 Pu 0.0000 0.5000 0.2500
Zn1 Zn 0.0000 0.0000 0.5000